# 1
Compound: Ac8Co3NiI4
Source: Alexandria
Functional: GGA-PBE
Structure: optimized geometry

Summary:
* density of states at the Fermi level: 0.35 states/eV/atom
* total moment: 0.00 Bohr magnetons per cell
* electronic total energy: -4.788 eV per atom
* energy relative to the elements, uncorrected: -63 kJ per mole of atoms

a b c (Å): 8.582 9.940 8.587
angles (deg): 115.54 119.98 90.00
Sites, in units of the cell vectors:
Ac  0.230  0.681  0.952
Ac  0.230  0.681  0.460
Ac  0.272  0.318  0.544
Ac  0.722  0.681  0.952
Ac  0.278  0.319  0.048
Ac  0.728  0.682  0.456
Ac  0.770  0.319  0.540
Ac  0.770  0.319  0.048
Co  0.500  0.500  0.000
Co  0.500  0.500  0.500
Co  0.000  0.500  0.500
Ni  0.000  0.500  0.000
I  0.500  0.000  0.000
I  0.500  0.000  0.500
I  0.000  0.000  0.000
I  0.000  0.000  0.500

***

# 2
Compound: Ac6Co2NiI3
Source: Alexandria
Functional: GGA-PBE
Structure: optimized geometry

Summary:
* density of states at the Fermi level: 0.41 states/eV/atom
* total moment: 0.00 Bohr magnetons per cell
* electronic total energy: -4.771 eV per atom
* energy relative to the elements, uncorrected: -64 kJ per mole of atoms

a b c (Å): 7.445 7.445 8.974
angles (deg): 97.94 97.94 120.00
Sites, in units of the cell vectors:
Ac  0.939  0.599  0.818
Ac  0.720  0.720  0.182
Ac  0.061  0.401  0.182
Ac  0.599  0.939  0.818
Ac  0.280  0.280  0.818
Ac  0.401  0.061  0.182
Co  0.333  0.667  0.000
Co  0.667  0.333  0.000
Ni  0.000  0.000  0.000
I  0.167  0.833  0.500
I  0.833  0.167  0.500
I  0.500  0.500  0.500

***

# 3
Compound: Ac6CoNi2I3
Source: Alexandria
Functional: GGA-PBE
Structure: optimized geometry

Summary:
* density of states at the Fermi level: 0.60 states/eV/atom
* total moment: 0.00 Bohr magnetons per cell
* electronic total energy: -4.692 eV per atom
* energy relative to the elements, uncorrected: -67 kJ per mole of atoms

a b c (Å): 7.502 7.502 8.971
angles (deg): 98.01 98.01 120.01
Sites, in units of the cell vectors:
Ac  0.939  0.613  0.818
Ac  0.734  0.734  0.182
Ac  0.061  0.387  0.182
Ac  0.613  0.939  0.818
Ac  0.266  0.266  0.818
Ac  0.387  0.061  0.182
Co  0.000  0.000  0.000
Ni  0.333  0.667  0.000
Ni  0.667  0.333  0.000
I  0.167  0.833  0.500
I  0.833  0.167  0.500
I  0.500  0.500  0.500